# BaTcSe, relaxed, DFT PBE-GGA
data_BaTcSe
_chemical_formula_sum 'Ba1 Tc1 Se1'
_cell_length_a 4.2642
_cell_length_b 4.2642
_cell_length_c 5.0643
_cell_angle_alpha 90.00
_cell_angle_beta 90.00
_cell_angle_gamma 120.00
_space_group_name_H-M_alt 'P -6 m 2'
_space_group_IT_number 187
_space_group_name_Hall 'P -6 2'
loop_
_atom_site_label
_atom_site_type_symbol
_atom_site_fract_x
_atom_site_fract_y
_atom_site_fract_z
Ba1 Ba 0.0000 0.0000 0.0000
Tc1 Tc 0.6667 0.3333 0.5000
Se1 Se 0.3333 0.6667 0.5000
# - E_tot (eV/cell) = -16.437
# - offset from the most stable computed form (meV/atom) = 0.0
# - raw formation energy (meV/atom) = -221